## MnPdF2 (PBE with a Hubbard U)

Data for an optimized crystal structure of MnPdF2. Values from VASP.

energy above the most stable polymorph in this dataset = 0 meV per atom
final energy = -5.53 eV/atom
symmetry = R-3m, No. 166

```
&SYSTEM
  ibrav = 0, nat = 4, ntyp = 3
/
ATOMIC_SPECIES
Mn 54.94 Mn.upf
Pd 106.42 Pd.upf
F 19.00 F.upf
CELL_PARAMETERS angstrom
3.056 1.201 7.881
5.209 -0.746 6.724
5.420 2.322 6.174
ATOMIC_POSITIONS crystal
Mn 0.500 0.500 0.500
Pd 0.000 0.000 0.000
F 0.877 0.877 0.877
F 0.123 0.123 0.123
```